The following is a PBE calculation of a relaxed TaMoRh crystal, from Alexandria.

Summary:
energy of formation from the pure elements = -0.5 eV per formula unit
energy above the most stable polymorph in this dataset = 0 meV/atom
energy = -10.1909 eV/atom

abc: 6.4702 6.4702 6.4702
angles: 155.08 155.08 35.53
Closest atoms and distances in Å follow each position.
Positions (direct):
1 Mo 0.9905 0.9905 0.0000  4 Rh 2.73, 4 Mo 2.79, 4 Ta 2.99
2 Rh 0.3372 0.3372 0.0000  4 Mo 2.73, 4 Rh 2.79, 4 Ta 2.83
3 Ta 0.6724 0.6724 0.0000  4 Ta 2.79, 4 Rh 2.83, 4 Mo 2.99

The following is a PBE calculation of a relaxed Ta2MoRh crystal, from Alexandria.

Summary:
energy of formation from the pure elements = -0.5 eV per formula unit
energy above the most stable polymorph in this dataset = 212 meV/atom
energy = -10.6078 eV/atom

abc: 3.2425 3.2425 6.3454
angles: 90.00 90.00 90.00
Closest atoms and distances in Å follow each position.
Positions (direct):
1 Mo 0.0000 0.0000 0.4913  4 Ta 2.72, 4 Rh 2.85
2 Rh 0.5000 0.5000 0.7579  4 Ta 2.73, 4 Mo 2.85
3 Ta 0.0000 0.0000 0.9914  4 Rh 2.73, 4 Ta 2.85
4 Ta 0.5000 0.5000 0.2594  4 Mo 2.72, 4 Ta 2.85

The following is a PBE calculation of a relaxed TaMoRh2 crystal, from Alexandria.

Summary:
energy of formation from the pure elements = -0.9 eV per formula unit
energy above the most stable polymorph in this dataset = 138 meV/atom
energy = -9.5637 eV/atom

abc: 4.8679 4.8679 4.8679
angles: 132.27 132.27 69.80
Closest atoms and distances in Å follow each position.
Positions (direct):
1 Mo 0.7500 0.2500 0.5000  8 Rh 2.78-2.80, 4 Ta 2.80
2 Rh 0.0000 0.0000 0.0000  4 Ta 2.78, 4 Mo 2.80, 4 Rh 2.80
3 Rh 0.2500 0.7500 0.5000  4 Mo 2.78, 4 Ta 2.80, 4 Rh 2.80
4 Ta 0.5000 0.5000 0.0000  8 Rh 2.78-2.80, 4 Mo 2.80

The following is a PBE calculation of a relaxed TaMo3Rh crystal, from Alexandria.

Summary:
energy of formation from the pure elements = 9.7 eV per formula unit
energy above the most stable polymorph in this dataset = 316 meV/atom
energy = -8.3897 eV/atom

abc: 4.6894 4.6894 4.6894
angles: 90.00 90.00 90.00
Closest atoms and distances in Å follow each position.
Positions (direct):
1 Mo 0.0000 0.5000 0.0000  2 Ta 2.34
2 Mo 0.0000 0.0000 0.5000  2 Ta 2.34
3 Mo 0.5000 0.0000 0.0000  2 Ta 2.34
4 Rh 0.5000 0.5000 0.5000  12 Mo 3.32
5 Ta 0.0000 0.0000 0.0000  6 Mo 2.34

The following is a PBE calculation of a relaxed TaMo2Rh crystal, from Alexandria.

Summary:
energy of formation from the pure elements = 0.2 eV per formula unit
energy above the most stable polymorph in this dataset = 180 meV/atom
energy = -10.1670 eV/atom

abc: 5.0873 5.0873 2.7365
angles: 90.00 90.00 114.64
Closest atoms and distances in Å follow each position.
Positions (direct):
1 Mo 0.0000 0.0000 0.0000  4 Mo 2.74-2.75, 4 Rh 2.89, 4 Ta 2.89
2 Mo 0.5000 0.5000 0.0000  4 Mo 2.74-2.75, 4 Ta 2.89, 4 Rh 2.89
3 Rh 0.5000 0.0000 0.5000  2 Rh 2.74, 2 Ta 2.75, 8 Mo 2.89
4 Ta 0.0000 0.5000 0.5000  2 Ta 2.74, 2 Rh 2.75, 8 Mo 2.89

The following is a PBE calculation of a relaxed TaMo2Rh crystal, from Alexandria.

Summary:
energy of formation from the pure elements = -0.2 eV per formula unit
energy above the most stable polymorph in this dataset = 75 meV/atom
energy = -10.2720 eV/atom

abc: 4.4933 4.4933 4.4933
angles: 60.00 60.00 60.00
Closest atoms and distances in Å follow each position.
Positions (direct):
1 Mo 0.0000 0.0000 0.0000  4 Ta 2.75, 4 Mo 2.75
2 Mo 0.7500 0.7500 0.7500  4 Mo 2.75, 4 Rh 2.75
3 Rh 0.5000 0.5000 0.5000  4 Mo 2.75, 4 Ta 2.75
4 Ta 0.2500 0.2500 0.2500  4 Rh 2.75, 4 Mo 2.75